# Ba2Cd4Sn5 | the Alexandria database | PBE | relaxed
# calculated density	6401	kg/m³
# DFT formation energy	-259	meV/atom
# electronic total energy	-2.76	eV per atom
data_Ba2Cd4Sn5
_chemical_formula_sum 'Ba4 Cd8 Sn10'
_cell_length_a 13.987
_cell_length_b 6.749
_cell_length_c 9.427
_cell_angle_alpha 90.00
_cell_angle_beta 129.79
_cell_angle_gamma 90.00
_symmetry_space_group_name_H-M 'C 1 2/m 1'
_symmetry_Int_Tables_number 12
loop_
_symmetry_equiv_pos_as_xyz
'x,y,z'
'-x,-y,-z'
'-x,y,-z'
'x,-y,z'
'x+1/2,y+1/2,z'
'-x+1/2,-y+1/2,-z'
'-x+1/2,y+1/2,-z'
'x+1/2,-y+1/2,z'
loop_
_atom_site_label
_atom_site_type_symbol
_atom_site_fract_x
_atom_site_fract_y
_atom_site_fract_z
Ba1 Ba 0.001 0.000 0.239
Cd1 Cd 0.131 0.500 0.418
Cd2 Cd 0.149 0.500 0.869
Sn1 Sn 0.000 0.500 0.000
Sn2 Sn 0.242 0.228 0.735


# Pm12Ho5Pb2 | the Alexandria database | PBE | relaxed
# calculated density	7838	kg/m³
# DFT formation energy	-35	meV/atom
# electronic total energy	-4.63	eV per atom
data_Pm12Ho5Pb2
_chemical_formula_sum 'Pm24 Ho10 Pb4'
_cell_length_a 15.387
_cell_length_b 9.586
_cell_length_c 8.569
_cell_angle_alpha 90.00
_cell_angle_beta 92.92
_cell_angle_gamma 90.00
_symmetry_space_group_name_H-M 'C 1 2/m 1'
_symmetry_Int_Tables_number 12
loop_
_symmetry_equiv_pos_as_xyz
'x,y,z'
'-x,-y,-z'
'-x,y,-z'
'x,-y,z'
'x+1/2,y+1/2,z'
'-x+1/2,-y+1/2,-z'
'-x+1/2,y+1/2,-z'
'x+1/2,-y+1/2,z'
loop_
_atom_site_label
_atom_site_type_symbol
_atom_site_fract_x
_atom_site_fract_y
_atom_site_fract_z
Pm1 Pm 0.053 0.000 0.314
Pm2 Pm 0.083 0.500 0.881
Pm3 Pm 0.122 0.196 0.650
Pm4 Pm 0.152 0.316 0.232
Ho1 Ho 0.000 0.500 0.500
Ho2 Ho 0.181 0.000 0.001
Ho3 Ho 0.234 0.500 0.588
Pb1 Pb 0.000 0.192 0.000


# Pm2H3Pb | the Alexandria database | PBE | relaxed
# calculated density	7912	kg/m³
# electronic total energy	-4.46	eV per atom
data_Pm2H3Pb
_chemical_formula_sum 'Pm8 H12 Pb4'
_cell_length_a 15.161
_cell_length_b 3.815
_cell_length_c 7.843
_cell_angle_alpha 90.00
_cell_angle_beta 112.25
_cell_angle_gamma 90.00
_symmetry_space_group_name_H-M 'C 1 2/m 1'
_symmetry_Int_Tables_number 12
loop_
_symmetry_equiv_pos_as_xyz
'x,y,z'
'-x,-y,-z'
'-x,y,-z'
'x,-y,z'
'x+1/2,y+1/2,z'
'-x+1/2,-y+1/2,-z'
'-x+1/2,y+1/2,-z'
'x+1/2,-y+1/2,z'
loop_
_atom_site_label
_atom_site_type_symbol
_atom_site_fract_x
_atom_site_fract_y
_atom_site_fract_z
Pm1 Pm 0.030 0.000 0.276
Pm2 Pm 0.196 0.500 0.667
H1 H 0.068 0.500 0.415
H2 H 0.092 0.000 0.612
H3 H 0.191 0.000 0.472
Pb1 Pb 0.136 0.500 0.033


# Nd6AlTl5 | the Alexandria database | PBE | relaxed
# calculated density	9062	kg/m³
# DFT formation energy	-376	meV/atom
# electronic total energy	-4.06	eV per atom
data_Nd6AlTl5
_chemical_formula_sum 'Nd12 Al2 Tl10'
_cell_length_a 5.502
_cell_length_b 7.715
_cell_length_c 16.528
_cell_angle_alpha 90.00
_cell_angle_beta 90.00
_cell_angle_gamma 90.00
_symmetry_space_group_name_H-M 'I m m m'
_symmetry_Int_Tables_number 71
_symmetry_space_group_name_Hall '-I 2 2'
loop_
_atom_site_label
_atom_site_type_symbol
_atom_site_fract_x
_atom_site_fract_y
_atom_site_fract_z
Nd1 Nd 0.000 0.241 0.000
Nd2 Nd 0.000 0.255 0.337
Al1 Al 0.000 0.500 0.500
Tl1 Tl 0.000 0.000 0.171
Tl2 Tl 0.000 0.000 0.500
Tl3 Tl 0.000 0.500 0.166